Entry 1:
{"formula": "CsBe2Tl2", "functional": "PBE", "state": "optimized geometry", "lattice": [[4.969, 0.000, 0.000], [0.000, 4.969, 0.000], [0.000, 0.000, 10.724]], "species": ["Cs", "Cs", "Be", "Be", "Be", "Be", "Tl", "Tl", "Tl", "Tl"], "frac_coords": [[0.000, 0.000, 0.000], [0.500, 0.500, 0.500], [0.000, 0.000, 0.394], [0.000, 0.000, 0.606], [0.500, 0.500, 0.106], [0.500, 0.500, 0.894], [0.000, 0.500, 0.250], [0.000, 0.500, 0.750], [0.500, 0.000, 0.250], [0.500, 0.000, 0.750]], "spacegroup": "I4/mmm (139)", "formation_enthalpy_0k_ev_per_atom": 0.60}



Entry 2:
{"formula": "K2SbOF3", "functional": "PBE", "state": "optimized geometry", "lattice": [[4.321, 0.000, 0.000], [0.000, 4.661, 0.000], [0.000, 0.000, 13.652]], "species": ["K", "K", "K", "K", "Sb", "Sb", "O", "O", "F", "F", "F", "F", "F", "F"], "frac_coords": [[0.000, 0.000, 0.143], [0.000, 0.000, 0.857], [0.500, 0.500, 0.357], [0.500, 0.500, 0.643], [0.000, 0.000, 0.500], [0.500, 0.500, 0.000], [0.000, 0.500, 0.000], [0.500, 0.000, 0.500], [0.000, 0.000, 0.333], [0.000, 0.000, 0.667], [0.000, 0.500, 0.500], [0.500, 0.000, 0.000], [0.500, 0.500, 0.167], [0.500, 0.500, 0.833]], "formation_energy_uncorrected_mev_per_atom": -2207, "spacegroup": "Immm (71)"}



Entry 3:
{"formula": "Tb2Pm2NdMg", "functional": "PBE", "state": "optimized geometry", "lattice": [[6.154, 0.000, 0.000], [0.000, 18.832, 0.000], [0.000, 0.000, 3.423]], "species": ["Tb", "Tb", "Tb", "Tb", "Pm", "Pm", "Pm", "Pm", "Nd", "Nd", "Mg", "Mg"], "frac_coords": [[0.162, 0.202, 0.000], [0.338, 0.702, 0.500], [0.662, 0.298, 0.500], [0.838, 0.798, 0.000], [0.163, 0.362, 0.500], [0.337, 0.862, 0.000], [0.663, 0.138, 0.000], [0.837, 0.638, 0.500], [0.000, 0.000, 0.000], [0.500, 0.500, 0.500], [0.000, 0.500, 0.000], [0.500, 0.000, 0.500]], "spacegroup": "Pnnm (58)", "formation_enthalpy_0k_ev_per_atom": 0.23}



Across the entries above, magnetic moment takes the values 0.000; 0.000; 0.001 μB/atom, respectively.